1.
NaY2Fe GGA-PBE optimized geometry; formation energy = 1.56 eV per formula unit; V = 90.0 Å³/cell
1.0
0.000 3.557 3.557
3.557 0.000 3.557
3.557 3.557 0.000
Na Y Fe
1 2 1
Direct
0.000 0.000 0.000 Na
0.250 0.250 0.250 Y
0.750 0.750 0.750 Y
0.500 0.500 0.500 Fe

---

2.
NaYFe3 GGA-PBE optimized geometry; formation energy = 6.89 eV per formula unit; V = 97.3 Å³/cell
1.0
4.600 0.000 0.000
0.000 4.600 0.000
0.000 0.000 4.600
Na Y Fe
1 1 3
Direct
0.000 0.000 0.000 Na
0.500 0.500 0.500 Y
0.000 0.000 0.500 Fe
0.000 0.500 0.000 Fe
0.500 0.000 0.000 Fe

---

3.
NaY2Fe2 GGA-PBE optimized geometry; formation energy = 1.38 eV per formula unit; V = 126.0 Å³/cell
1.0
-1.725 1.725 10.585
1.725 -1.725 10.585
1.725 1.725 -10.585
Na Y Fe
1 2 2
Direct
0.000 0.000 0.000 Na
0.357 0.357 0.000 Y
0.643 0.643 0.000 Y
0.250 0.750 0.500 Fe
0.750 0.250 0.500 Fe

---

4.
Na2ZnFe GGA-PBE optimized geometry; formation energy = 2.87 eV per formula unit; V = 174.4 Å³/cell
1.0
-4.065 4.065 2.639
4.065 -4.065 2.639
4.065 4.065 -2.639
Na Zn Fe
4 2 2
Direct
0.118 0.625 0.993 Na
0.375 0.368 0.493 Na
0.632 0.125 0.007 Na
0.875 0.882 0.507 Na
0.000 0.000 0.000 Zn
0.750 0.250 0.500 Zn
0.250 0.750 0.500 Fe
0.500 0.500 0.000 Fe

---

5.
NaZnFe3 GGA-PBE optimized geometry; formation energy = 5.71 eV per formula unit; V = 95.5 Å³/cell
1.0
4.570 0.000 0.000
0.000 4.570 0.000
0.000 0.000 4.570
Na Zn Fe
1 1 3
Direct
0.000 0.000 0.000 Na
0.500 0.500 0.500 Zn
0.000 0.500 0.500 Fe
0.500 0.000 0.500 Fe
0.500 0.500 0.000 Fe

---

6.
NaZn2Fe GGA-PBE optimized geometry; formation energy = 2.35 eV per formula unit; V = 191.0 Å³/cell
1.0
-2.373 2.373 8.481
2.373 -2.373 8.481
2.373 2.373 -8.481
Na Zn Fe
2 4 2
Direct
0.000 0.000 0.000 Na
0.750 0.250 0.500 Na
0.305 0.625 0.180 Zn
0.375 0.555 0.680 Zn
0.445 0.125 0.820 Zn
0.875 0.695 0.320 Zn
0.250 0.750 0.500 Fe
0.500 0.500 0.000 Fe

---

7.
Na3ZnFe GGA-PBE optimized geometry; formation energy = 4.49 eV per formula unit; V = 161.4 Å³/cell
1.0
5.444 0.000 0.000
0.000 5.444 0.000
0.000 0.000 5.444
Na Zn Fe
3 1 1
Direct
0.000 0.000 0.500 Na
0.000 0.500 0.000 Na
0.500 0.000 0.000 Na
0.000 0.000 0.000 Zn
0.500 0.500 0.500 Fe

---

8.
NaZn2Fe GGA-PBE optimized geometry; formation energy = 1.44 eV per formula unit; V = 63.9 Å³/cell
1.0
0.000 3.174 3.174
3.174 0.000 3.174
3.174 3.174 0.000
Na Zn Fe
1 2 1
Direct
0.000 0.000 0.000 Na
0.250 0.250 0.250 Zn
0.750 0.750 0.750 Zn
0.500 0.500 0.500 Fe

---

9.
NaZn3Fe GGA-PBE optimized geometry; formation energy = 1.53 eV per formula unit; V = 103.2 Å³/cell
1.0
4.691 0.000 0.000
0.000 4.691 0.000
0.000 0.000 4.691
Na Zn Fe
1 3 1
Direct
0.000 0.000 0.000 Na
0.000 0.500 0.500 Zn
0.500 0.000 0.500 Zn
0.500 0.500 0.000 Zn
0.500 0.500 0.500 Fe

---

10.
Na3ZnFe GGA-PBE optimized geometry; formation energy = 4.39 eV per formula unit; V = 178.6 Å³/cell
1.0
5.632 0.000 0.000
0.000 5.632 0.000
0.000 0.000 5.632
Na Zn Fe
3 1 1
Direct
0.000 0.000 0.500 Na
0.000 0.500 0.000 Na
0.500 0.000 0.000 Na
0.500 0.500 0.500 Zn
0.000 0.000 0.000 Fe

---

11.
NaZnFe3 GGA-PBE optimized geometry; formation energy = 9.13 eV per formula unit; V = 86.4 Å³/cell
1.0
4.420 0.000 0.000
0.000 4.420 0.000
0.000 0.000 4.420
Na Zn Fe
1 1 3
Direct
0.000 0.000 0.000 Na
0.500 0.500 0.500 Zn
0.000 0.000 0.500 Fe
0.000 0.500 0.000 Fe
0.500 0.000 0.000 Fe

---

12.
Na2ZrFe GGA-PBE optimized geometry; formation energy = 5.28 eV per formula unit; V = 78.5 Å³/cell
1.0
0.000 3.399 3.399
3.399 0.000 3.399
3.399 3.399 0.000
Na Zr Fe
2 1 1
Direct
0.250 0.250 0.250 Na
0.750 0.750 0.750 Na
0.000 0.000 0.000 Zr
0.500 0.500 0.500 Fe